(1)
Na3CrCl6: relaxed, PBE.

a = 6.8947 Å, b = 6.8947 Å, c = 12.1641 Å
α = 90.00°, β = 90.00°, γ = 120.00°
Closest atoms and distances in Å follow each position.
Element x y z (fractional)
Na  0.0000  0.0000  0.2500  6 Cl 2.83
Na  0.0000  0.0000  0.7500  6 Cl 2.83
Na  0.3333  0.6667  0.0422  6 Cl 2.79-2.89
Na  0.3333  0.6667  0.4578  6 Cl 2.79-2.89
Na  0.6667  0.3333  0.5422  6 Cl 2.79-2.89
Na  0.6667  0.3333  0.9578  6 Cl 2.79-2.89
Cr  0.3333  0.6667  0.7500  6 Cl 2.38
Cr  0.6667  0.3333  0.2500  6 Cl 2.38
Cl  0.0592  0.3826  0.6355  1 Cr 2.38
Cl  0.0592  0.6766  0.8645  1 Cr 2.38
Cl  0.3234  0.3826  0.8645  1 Cr 2.38
Cl  0.3234  0.9408  0.6355  1 Cr 2.38
Cl  0.3826  0.0592  0.1355  1 Cr 2.38
Cl  0.3826  0.3234  0.3645  1 Cr 2.38
Cl  0.6174  0.6766  0.6355  1 Cr 2.38
Cl  0.6174  0.9408  0.8645  1 Cr 2.38
Cl  0.6766  0.0592  0.3645  1 Cr 2.38
Cl  0.6766  0.6174  0.1355  1 Cr 2.38
Cl  0.9408  0.3234  0.1355  1 Cr 2.38
Cl  0.9408  0.6174  0.3645  1 Cr 2.38

Its density of states at the Fermi level is 0.00 states/eV/cell. For the excess energy over the best structure of this formula in the dataset, the calculation gives 0 meV per atom.

***

(2)
Sm5Dy12Y2: relaxed, PBE.

a = 6.2777 Å, b = 8.8820 Å, c = 12.0895 Å
α = 69.81°, β = 80.33°, γ = 78.84°
Closest atoms and distances in Å follow each position.
Element x y z (fractional)
Sm  0.0000  0.0000  0.0000  2 Sm 3.48, 10 Dy 3.56-3.79
Sm  0.2185  0.3265  0.0095  10 Dy 3.37-3.76, 2 Sm 3.48-3.68
Sm  0.3627  0.8399  0.5058  9 Dy 3.39-3.79, 2 Y 3.42-3.63, 1 Sm 3.55
Sm  0.6373  0.1601  0.4942  9 Dy 3.39-3.79, 2 Y 3.42-3.63, 1 Sm 3.55
Sm  0.7815  0.6735  0.9905  10 Dy 3.37-3.76, 2 Sm 3.48-3.68
Dy  0.0837  0.1284  0.6643  2 Y 3.50-3.71, 6 Dy 3.51-3.89, 4 Sm 3.66-3.79
Dy  0.1624  0.2075  0.3239  4 Sm 3.39-3.78, 6 Dy 3.43-3.66, 1 Y 3.47
Dy  0.2397  0.4628  0.7115  2 Y 3.24-3.38, 2 Sm 3.37-3.55, 5 Dy 3.39-3.55
Dy  0.2657  0.6033  0.1425  1 Y 3.32, 6 Dy 3.41-3.68, 4 Sm 3.45-3.65
Dy  0.3128  0.7398  0.8319  7 Dy 3.39-3.66, 5 Sm 3.60-3.70
Dy  0.4601  0.9263  0.1730  6 Dy 3.48-3.67, 5 Sm 3.59-3.79
Dy  0.5399  0.0737  0.8270  6 Dy 3.48-3.67, 5 Sm 3.59-3.79
Dy  0.6872  0.2602  0.1681  7 Dy 3.39-3.66, 5 Sm 3.60-3.70
Dy  0.7343  0.3967  0.8575  1 Y 3.32, 6 Dy 3.41-3.68, 4 Sm 3.45-3.65
Dy  0.7603  0.5372  0.2885  2 Y 3.24-3.38, 2 Sm 3.37-3.55, 5 Dy 3.39-3.55
Dy  0.8376  0.7925  0.6761  4 Sm 3.39-3.78, 6 Dy 3.43-3.66, 1 Y 3.47
Dy  0.9163  0.8716  0.3357  2 Y 3.50-3.71, 6 Dy 3.51-3.89, 4 Sm 3.66-3.79
Y  0.2539  0.4993  0.4345  5 Dy 3.24-3.50, 1 Y 3.31, 2 Sm 3.42-3.63
Y  0.7461  0.5007  0.5655  5 Dy 3.24-3.50, 1 Y 3.31, 2 Sm 3.42-3.63

Its density of states at the Fermi level is 27.60 states/eV/cell. The value obtained for the formation energy is 0.062 eV per atom. For the excess energy over the best structure of this formula in the dataset, the calculation gives 0 meV per atom.

***

(3)
Ti2BeWI: relaxed, PBE.

a = 4.9109 Å, b = 4.9109 Å, c = 4.2237 Å
α = 90.00°, β = 90.00°, γ = 90.00°
Closest atoms and distances in Å follow each position.
Element x y z (fractional)
Ti  0.0000  0.5000  0.0000  2 I 2.46
Ti  0.5000  0.0000  0.0000  2 I 2.46
Be  0.0000  0.0000  0.5000  2 I 2.11
W  0.5000  0.5000  0.5000  8 Ti 3.24, 4 Be 3.47
I  0.0000  0.0000  0.0000  2 Be 2.11

Its total energy is -5.047 eV per atom. Its density of states at the Fermi level is 5.25 states/eV/cell.

***

(4)
RbAl2Cu2: relaxed, PBE.

a = 7.3445 Å, b = 7.3445 Å, c = 7.3445 Å
α = 146.25°, β = 146.25°, γ = 48.47°
Closest atoms and distances in Å follow each position.
Element x y z (fractional)
Rb  0.0000  0.0000  0.0000  8 Cu 3.68, 8 Al 3.97
Al  0.2500  0.7500  0.5000  4 Cu 2.46
Al  0.7500  0.2500  0.5000  4 Cu 2.46
Cu  0.3423  0.3423  0.0000  4 Al 2.46
Cu  0.6577  0.6577  0.0000  4 Al 2.46

Its density of states at the Fermi level is 2.66 states/eV/cell. The value obtained for the formation energy is 0.152 eV per atom. For the excess energy over the best structure of this formula in the dataset, the calculation gives 0 meV per atom.

***

(5)
LiSc2Ru: relaxed, PBE.

a = 3.2153 Å, b = 4.0907 Å, c = 5.6322 Å
α = 90.00°, β = 90.00°, γ = 90.00°
Closest atoms and distances in Å follow each position.
Element x y z (fractional)
Li  0.0000  0.0000  0.0000  1 Sc 2.49
Sc  0.0000  0.0000  0.4417  1 Li 2.49, 4 Ru 2.73
Sc  0.5000  0.5000  0.7715  2 Ru 2.68-2.95, 4 Li 2.90
Ru  0.5000  0.5000  0.2953  6 Sc 2.68-2.95

Its density of states at the Fermi level is 1.92 states/eV/cell. The value obtained for the formation energy is -0.049 eV per atom. For the excess energy over the best structure of this formula in the dataset, the calculation gives 316 meV per atom.

***

(6)
LaAsAuSe2: relaxed, PBE.

a = 5.6998 Å, b = 5.6998 Å, c = 5.9085 Å
α = 90.00°, β = 90.00°, γ = 90.00°
Closest atoms and distances in Å follow each position.
Element x y z (fractional)
La  0.0000  0.0000  0.0000  4 Se 2.85, 2 As 2.95
As  0.0000  0.0000  0.5000  2 La 2.95
Au  0.5000  0.5000  0.5000  4 As 4.03, 8 Se 4.10
Se  0.0000  0.5000  0.0000  2 La 2.85
Se  0.5000  0.0000  0.0000  2 La 2.85

Its density of states at the Fermi level is 7.04 states/eV/cell. For the excess energy over the best structure of this formula in the dataset, the calculation gives 777 meV per atom.

***

(7)
Hf2ReN: relaxed, PBE.

a = 5.6854 Å, b = 5.6854 Å, c = 5.6854 Å
α = 113.29°, β = 113.29°, γ = 102.08°
Closest atoms and distances in Å follow each position.
Element x y z (fractional)
Hf  0.0438  0.6250  0.9188  2 N 2.09
Hf  0.3750  0.2938  0.4188  2 N 2.09
Hf  0.7062  0.1250  0.0812  2 N 2.09
Hf  0.8750  0.9562  0.5812  2 N 2.09
Re  0.2500  0.7500  0.5000  4 Hf 2.74
Re  0.5000  0.5000  0.0000  4 Hf 2.74
N  0.0000  0.0000  0.0000  4 Hf 2.09
N  0.7500  0.2500  0.5000  4 Hf 2.09

Its total energy is -10.366 eV per atom. Its density of states at the Fermi level is 5.29 states/eV/cell.

***

(8)
NaInAg2Br6: relaxed, PBE.

a = 7.2116 Å, b = 7.2196 Å, c = 7.7387 Å
α = 90.01°, β = 117.76°, γ = 119.94°
Closest atoms and distances in Å follow each position.
Element x y z (fractional)
Na  0.0000  0.0000  0.0000  6 Br 2.94-3.10
In  0.9790  0.4894  0.4677  6 Br 2.73-2.74
Ag  0.5871  0.2928  0.8790  6 Br 2.82-3.06
Ag  0.6130  0.8072  0.4186  6 Br 2.83-2.99
Br  0.1118  0.4155  0.2095  1 In 2.74, 2 Ag 2.83-3.05, 1 Na 2.94
Br  0.1140  0.2390  0.6949  1 In 2.73, 2 Ag 2.82-2.98
Br  0.4567  0.8744  0.6946  1 In 2.74, 2 Ag 2.82-2.98
Br  0.5142  0.0995  0.2096  1 In 2.74, 2 Ag 2.83-3.05, 1 Na 2.94
Br  0.7949  0.6964  0.2098  1 In 2.74, 2 Ag 2.83-3.06, 1 Na 2.94
Br  0.8214  0.5822  0.6953  1 In 2.73, 2 Ag 2.82-2.99

Its total energy is -2.726 eV per atom.

***

(9)
Mg2CoCu: relaxed, PBE.

a = 4.3151 Å, b = 4.3151 Å, c = 3.1386 Å
α = 90.00°, β = 90.00°, γ = 90.10°
Closest atoms and distances in Å follow each position.
Element x y z (fractional)
Mg  0.0000  0.5000  0.0000  4 Cu 2.67, 4 Co 2.67
Mg  0.5000  0.0000  0.0000  4 Cu 2.67, 4 Co 2.67
Co  0.0000  0.0000  0.5000  8 Mg 2.67
Cu  0.5000  0.5000  0.5000  8 Mg 2.67

Its density of states at the Fermi level is 1.97 states/eV/cell. The value obtained for the formation energy is 0.054 eV per atom.

***

(10)
Nb2PdS6: relaxed, PBE.

a = 6.8201 Å, b = 6.8201 Å, c = 10.5051 Å
α = 119.38°, β = 119.38°, γ = 27.90°
Closest atoms and distances in Å follow each position.
Element x y z (fractional)
Nb  0.1801  0.1801  0.2922  7 S 2.50-2.62
Nb  0.8199  0.8199  0.7078  7 S 2.50-2.62
Pd  0.5000  0.5000  0.0000  4 S 2.36
S  0.1695  0.1695  0.5351  3 Nb 2.51-2.62
S  0.2936  0.2936  0.8674  1 Pd 2.36, 2 Nb 2.50
S  0.4808  0.4808  0.7643  1 Pd 2.36, 2 Nb 2.51
S  0.5192  0.5192  0.2357  1 Pd 2.36, 2 Nb 2.51
S  0.7064  0.7064  0.1326  1 Pd 2.36, 2 Nb 2.50
S  0.8305  0.8305  0.4649  3 Nb 2.51-2.62

Its total energy is -6.370 eV per atom. Its density of states at the Fermi level is 1.60 states/eV/cell.

***

(11)
TePAu2: relaxed, PBE.

a = 4.8459 Å, b = 4.8459 Å, c = 4.8459 Å
α = 60.00°, β = 60.00°, γ = 60.00°
Closest atoms and distances in Å follow each position.
Element x y z (fractional)
Te  0.0000  0.0000  0.0000  4 P 2.97, 4 Au 2.97
P  0.7500  0.7500  0.7500  4 Te 2.97, 4 Au 2.97
Au  0.2500  0.2500  0.2500  4 Te 2.97, 4 Au 2.97
Au  0.5000  0.5000  0.5000  4 P 2.97, 4 Au 2.97

Its density of states at the Fermi level is 1.90 states/eV/cell. For the excess energy over the best structure of this formula in the dataset, the calculation gives 451 meV per atom.

***

(12)
FeSnIr3: relaxed, PBE.

a = 4.5050 Å, b = 4.5050 Å, c = 4.5050 Å
α = 90.00°, β = 90.00°, γ = 90.00°
Closest atoms and distances in Å follow each position.
Element x y z (fractional)
Fe  0.0000  0.0000  0.0000  6 Ir 2.25
Sn  0.5000  0.5000  0.5000  12 Ir 3.19
Ir  0.0000  0.0000  0.5000  2 Fe 2.25
Ir  0.0000  0.5000  0.0000  2 Fe 2.25
Ir  0.5000  0.0000  0.0000  2 Fe 2.25

Its density of states at the Fermi level is 6.72 states/eV/cell. The value obtained for the formation energy is 1.153 eV per atom. For the excess energy over the best structure of this formula in the dataset, the calculation gives 0 meV per atom.

***

> Number 5 is which compound?

LiSc2Ru

***

> Number 2 is which compound?

Sm5Dy12Y2

***

> What is the formula in the tenth record?

Nb2PdS6